No. 1
Compound: ZrTe2IrN
Source: Alexandria
Functional: PBE
Structure: relaxed

Unit cell a=5.639 b=5.639 c=3.851 alpha=90.00 beta=90.00 gamma=90.00
Space group P4/mmm (No. 123)
One atom of each set of equivalent atoms:
Zr 0.000 0.000 0.000 [1 per cell]
Te 0.000 0.500 0.000 [2 per cell]
Ir 0.500 0.500 0.500 [1 per cell]
N 0.000 0.000 0.500 [1 per cell]

crystal system	tetragonal
V	122	Å³/cell
D(E_F)	4.63	states/eV/f.u.
formation energy (no corrections)	0.781	eV per atom

=====

No. 2
Compound: ThIrN
Source: Alexandria
Functional: PBE
Structure: relaxed

Unit cell a=8.071 b=3.816 c=9.318 alpha=90.00 beta=104.77 gamma=90.00
Space group C2/m (No. 12)
One atom of each set of equivalent atoms:
Th 0.216 0.000 0.191 [4 per cell]
Ir 0.044 0.500 0.363 [4 per cell]
N 0.044 0.000 0.359 [4 per cell]

crystal system	monoclinic
V	277	Å³/cell
D(E_F)	2.44	states/eV/f.u.
formation energy (no corrections)	-0.057	eV per atom

=====

No. 3
Compound: TiIr3N
Source: Alexandria
Functional: PBE
Structure: relaxed

Unit cell a=4.617 b=4.617 c=4.617 alpha=90.00 beta=90.00 gamma=90.00
Space group Pm-3m (No. 221)
One atom of each set of equivalent atoms:
Ti 0.000 0.000 0.000 [1 per cell]
Ir 0.000 0.000 0.500 [3 per cell]
N 0.500 0.500 0.500 [1 per cell]

crystal system	cubic
V	98	Å³/cell
D(E_F)	4.71	states/eV/f.u.
formation energy (no corrections)	2.470	eV per atom

=====

No. 4
Compound: TiIrN2
Source: Alexandria
Functional: PBE
Structure: relaxed

Unit cell a=5.409 b=5.409 c=5.409 alpha=90.00 beta=90.00 gamma=90.00
Space group Fm-3m (No. 225)
One atom of each set of equivalent atoms:
Ti 0.000 0.000 0.000 [4 per cell]
Ir 0.000 0.000 0.500 [4 per cell]
N 0.250 0.250 0.250 [8 per cell]

crystal system	cubic
V	158	Å³/cell
D(E_F)	3.59	states/eV/f.u.
formation energy (no corrections)	0.352	eV per atom

=====

No. 5
Compound: Ti6IrN
Source: Alexandria
Functional: PBE
Structure: relaxed

Unit cell a=4.666 b=5.263 c=5.351 alpha=97.38 beta=112.67 gamma=91.05
Space group P-1 (No. 2)
One atom of each set of equivalent atoms:
Ti 0.063 0.291 0.157 [2 per cell]
Ti 0.225 0.829 0.466 [2 per cell]
Ti 0.405 0.385 0.753 [2 per cell]
Ir 0.500 0.000 0.000 [1 per cell]
N 0.000 0.500 0.500 [1 per cell]

crystal system	triclinic
V	120	Å³/cell
D(E_F)	6.94	states/eV/f.u.
formation energy (no corrections)	-0.719	eV per atom

=====

No. 6
Compound: Ti7Ir2N2
Source: Alexandria
Functional: PBE
Structure: relaxed

Unit cell a=6.629 b=8.589 c=5.567 alpha=90.00 beta=90.00 gamma=90.00
Space group Cmmm (No. 65)
One atom of each set of equivalent atoms:
Ti 0.000 0.000 0.000 [2 per cell]
Ti 0.000 0.500 0.230 [4 per cell]
Ti 0.250 0.250 0.236 [8 per cell]
Ir 0.190 0.000 0.500 [4 per cell]
N 0.000 0.274 0.000 [4 per cell]

crystal system	orthorhombic
V	317	Å³/cell
D(E_F)	10.39	states/eV/f.u.
formation energy (no corrections)	-0.740	eV per atom

=====

No. 7
Compound: Ti6IrN4
Source: Alexandria
Functional: PBE
Structure: relaxed

Unit cell a=3.020 b=10.365 c=16.126 alpha=90.00 beta=90.00 gamma=90.00
Space group Cmcm (No. 63)
One atom of each set of equivalent atoms:
Ti 0.000 0.000 0.000 [4 per cell]
Ti 0.000 0.141 0.250 [4 per cell]
Ti 0.000 0.279 0.578 [8 per cell]
Ti 0.000 0.461 0.147 [8 per cell]
Ir 0.000 0.165 0.750 [4 per cell]
N 0.000 0.093 0.120 [8 per cell]
N 0.000 0.361 0.039 [8 per cell]

crystal system	orthorhombic
V	505	Å³/cell
D(E_F)	5.87	states/eV/f.u.
formation energy (no corrections)	-1.464	eV per atom

=====

No. 8
Compound: TiIrN2
Source: Alexandria
Functional: PBE
Structure: relaxed

Unit cell a=2.9301 b=2.9301 c=18.6050 alpha=90.00 beta=90.00 gamma=120.00
Space group R-3m (No. 166, hexagonal axes)
One atom of each set of equivalent atoms:
Ti 0.0000 0.0000 0.0000 [3 per cell]
Ir 0.0000 0.0000 0.5000 [3 per cell]
N 0.0000 0.0000 0.3952 [6 per cell]

crystal system	trigonal
V	138	Å³/cell
D(E_F)	5.69	states/eV/f.u.
formation energy (no corrections)	-0.353	eV per atom

=====

No. 9
Compound: Ti8IrN2
Source: Alexandria
Functional: PBE
Structure: relaxed

Unit cell a=6.944 b=10.251 c=4.343 alpha=90.00 beta=102.42 gamma=90.00
Space group C2/m (No. 12)
One atom of each set of equivalent atoms:
Ti 0.000 0.247 0.000 [4 per cell]
Ti 0.099 0.500 0.807 [4 per cell]
Ti 0.211 0.130 0.572 [8 per cell]
Ir 0.000 0.000 0.000 [2 per cell]
N 0.000 0.304 0.500 [4 per cell]

crystal system	monoclinic
V	302	Å³/cell
D(E_F)	9.75	states/eV/f.u.
formation energy (no corrections)	-0.607	eV per atom

=====

No. 10
Compound: TiIrN3
Source: Alexandria
Functional: PBE
Structure: relaxed

Unit cell a=3.858 b=3.858 c=3.858 alpha=90.00 beta=90.00 gamma=90.00
Space group Pm-3m (No. 221)
One atom of each set of equivalent atoms:
Ti 0.000 0.000 0.000 [1 per cell]
Ir 0.500 0.500 0.500 [1 per cell]
N 0.000 0.000 0.500 [3 per cell]

crystal system	cubic
V	57	Å³/cell
D(E_F)	2.30	states/eV/f.u.
formation energy (no corrections)	1.191	eV per atom

=====

No. 11
Compound: Ti8Ir2N3
Source: Alexandria
Functional: PBE
Structure: relaxed

Unit cell a=11.804 b=6.040 c=5.653 alpha=90.00 beta=109.04 gamma=90.00
Space group C2/m (No. 12)
One atom of each set of equivalent atoms:
Ti 0.098 0.000 0.399 [4 per cell]
Ti 0.104 0.234 0.893 [8 per cell]
Ti 0.121 0.500 0.509 [4 per cell]
Ir 0.229 0.500 0.203 [4 per cell]
N 0.000 0.000 0.000 [2 per cell]
N 0.000 0.246 0.500 [4 per cell]

crystal system	monoclinic
V	381	Å³/cell
D(E_F)	11.41	states/eV/f.u.
formation energy (no corrections)	-0.886	eV per atom

=====

No. 12
Compound: Ti12Ir5N2
Source: Alexandria
Functional: PBE
Structure: relaxed

Unit cell a=14.402 b=6.188 c=7.448 alpha=90.00 beta=105.45 gamma=90.00
Space group C2/m (No. 12)
One atom of each set of equivalent atoms:
Ti 0.002 0.000 0.309 [4 per cell]
Ti 0.009 0.500 0.333 [4 per cell]
Ti 0.142 0.255 0.067 [8 per cell]
Ti 0.155 0.248 0.590 [8 per cell]
Ir 0.000 0.500 0.000 [2 per cell]
Ir 0.194 0.000 0.340 [4 per cell]
Ir 0.207 0.000 0.868 [4 per cell]
N 0.000 0.239 0.500 [4 per cell]

crystal system	monoclinic
V	640	Å³/cell
D(E_F)	22.80	states/eV/f.u.
formation energy (no corrections)	-0.614	eV per atom